No. 1
Material: Tb2Ge
Method: DFT, PBE
State: relaxed

The structure in POSCAR format:
```
Tb2Ge
1.0
0.000 4.325 4.325
4.325 0.000 4.325
4.325 4.325 0.000
Tb Ge
4 2
Cartesian
0.000 0.000 0.000
2.162 2.162 0.000
2.162 0.000 2.162
0.000 2.162 2.162
3.243 3.243 3.243
5.406 5.406 5.406
```

Properties
total magnetization	0.00	μB/atom
VASP energy	-4.338	eV per atom

No. 2
Material: TbGe
Method: DFT, PBE
State: relaxed

The structure in POSCAR format:
```
TbGe
1.0
6.510 0.000 0.000
0.000 6.510 0.000
0.000 0.000 6.510
Tb Ge
4 4
Cartesian
0.000 0.000 0.000
0.000 3.255 3.255
3.255 0.000 3.255
3.255 3.255 0.000
1.627 1.627 1.627
1.627 4.882 4.882
4.882 1.627 4.882
4.882 4.882 1.627
```

Properties
total magnetization	0.02	μB/atom
VASP energy	-4.524	eV per atom

No. 3
Material: Tb5Ge4
Method: DFT, PBE
State: relaxed

The structure in POSCAR format:
```
Tb5Ge4
1.0
7.688 0.000 0.000
0.000 14.765 0.000
0.000 0.000 7.768
Tb Ge
20 16
Cartesian
0.208 1.498 1.377
0.208 5.884 1.377
0.932 9.105 2.638
0.932 13.042 2.638
1.644 3.691 3.899
2.200 11.073 0.015
2.911 1.723 6.522
2.911 5.659 6.522
3.636 8.880 5.261
3.636 13.266 5.261
4.052 1.498 2.507
4.052 5.884 2.507
4.776 9.105 1.246
4.776 13.042 1.246
5.488 3.691 7.753
6.043 11.073 3.869
6.755 1.723 5.130
6.755 5.659 5.130
7.480 8.880 6.391
7.480 13.266 6.391
0.640 3.691 6.864
1.294 11.073 4.947
1.692 0.652 4.139
1.692 6.730 4.139
2.152 8.034 0.255
2.152 14.113 0.255
2.550 3.691 1.063
3.204 11.073 2.980
4.483 3.691 4.788
5.138 11.073 6.704
5.536 0.652 7.513
5.536 6.730 7.513
5.996 8.034 3.629
5.996 14.113 3.629
6.394 3.691 2.821
7.048 11.073 0.904
```

Properties
total magnetization	0.00	μB/atom
VASP energy	-5.483	eV per atom

No. 4
Material: TbGe
Method: DFT, PBE
State: relaxed

The structure in POSCAR format:
```
TbGe
1.0
4.315 0.000 0.000
0.000 10.779 0.000
0.000 0.000 3.970
Tb Ge
4 4
Cartesian
0.000 1.496 0.993
0.000 9.284 2.978
2.157 3.894 2.978
2.157 6.885 0.993
0.000 4.474 0.993
0.000 6.305 2.978
2.157 0.916 2.978
2.157 9.864 0.993
```

Properties
total magnetization	0.00	μB/atom
VASP energy	-5.504	eV per atom

No. 5
Material: Tb3Ge4
Method: DFT, PBE
State: relaxed

The structure in POSCAR format:
```
Tb3Ge4
1.0
2.045 -5.369 0.000
2.045 5.369 0.000
0.000 0.000 14.342
Tb Ge
6 8
Cartesian
2.045 4.887 10.757
2.045 1.826 8.558
2.045 1.826 12.955
2.045 -1.826 1.387
2.045 -1.826 5.784
2.045 -4.887 3.586
0.000 0.000 0.000
0.000 0.000 7.171
2.045 2.928 3.586
2.045 1.280 1.559
2.045 1.280 5.612
2.045 -1.280 8.730
2.045 -1.280 12.783
2.045 -2.928 10.757
```

Properties
total magnetization	0.00	μB/atom
VASP energy	-5.423	eV per atom

No. 6
Material: TbGe
Method: DFT, PBE
State: relaxed

The structure in POSCAR format:
```
TbGe
1.0
3.739 0.000 0.000
-1.870 3.238 0.000
0.000 0.000 4.171
Tb Ge
1 1
Cartesian
0.000 0.000 0.000
0.000 2.159 2.086
```

Properties
total magnetization	0.00	μB/atom
VASP energy	-5.081	eV per atom

No. 7
Material: Tb4GeTe3
Method: DFT, PBE
State: relaxed

The structure in POSCAR format:
```
Tb4GeTe3
1.0
8.742 0.000 0.000
0.000 12.279 0.000
0.000 0.000 4.303
Tb Ge Te
8 2 6
Cartesian
0.000 2.871 0.000
0.000 9.408 0.000
1.960 0.000 2.151
2.412 6.139 2.151
4.371 3.268 0.000
4.371 9.010 0.000
6.331 6.139 2.151
6.783 0.000 2.151
0.000 0.000 0.000
4.371 6.139 0.000
0.000 6.139 0.000
2.186 3.070 2.151
2.186 9.209 2.151
4.371 0.000 0.000
6.557 3.070 2.151
6.557 9.209 2.151
```

Properties
total magnetization	0.00	μB/atom
VASP energy	-5.374	eV per atom

No. 8
Material: Tb3GeTe2
Method: DFT, PBE
State: relaxed

The structure in POSCAR format:
```
Tb3GeTe2
1.0
3.779 -6.454 0.000
3.779 6.454 0.000
-2.499 0.000 7.001
Tb Ge Te
6 2 4
Cartesian
1.889 3.227 0.000
0.408 0.952 3.464
-0.842 -0.952 6.964
0.640 -3.227 3.500
5.900 0.952 0.037
4.651 -0.952 3.537
3.154 5.297 1.750
1.904 -5.297 5.251
1.904 3.114 5.251
3.154 1.046 1.750
1.904 -1.046 5.251
3.154 -3.114 1.750
```

Properties
total magnetization	0.00	μB/atom
VASP energy	-5.410	eV per atom

No. 9
Material: TbTlGeTe3
Method: DFT, PBE
State: relaxed

The structure in POSCAR format:
```
TbTlGeTe3
1.0
2.319 -7.575 0.000
2.319 7.575 0.000
0.000 0.000 11.768
Tb Tl Ge Te
2 2 2 6
Cartesian
0.000 0.000 0.000
0.000 0.000 5.884
2.319 3.797 8.826
2.319 -3.797 2.942
2.319 0.510 2.942
2.319 -0.510 8.826
2.319 6.387 2.942
2.319 2.076 0.571
2.319 2.076 5.313
2.319 -2.076 6.455
2.319 -2.076 11.197
2.319 -6.387 8.826
```

Properties
total magnetization	0.00	μB/atom
VASP energy	-4.124	eV per atom

No. 10
Material: TbThGe
Method: DFT, PBE
State: relaxed

The structure in POSCAR format:
```
TbThGe
1.0
7.051 0.000 0.000
0.000 7.051 0.000
0.000 0.000 7.051
Tb Th Ge
4 4 4
Cartesian
0.000 0.000 0.000
0.000 3.526 3.526
3.526 0.000 3.526
3.526 3.526 0.000
1.763 1.763 5.289
1.763 5.289 1.763
5.289 1.763 1.763
5.289 5.289 5.289
1.763 1.763 1.763
1.763 5.289 5.289
5.289 1.763 5.289
5.289 5.289 1.763
```

Properties
total magnetization	0.58	μB/atom
VASP energy	-5.057	eV per atom

No. 11
Material: TbTlGe
Method: DFT, PBE
State: relaxed

The structure in POSCAR format:
```
TbTlGe
1.0
4.973 0.000 0.000
-2.486 4.307 0.000
0.000 0.000 10.398
Tb Tl Ge
3 3 3
Cartesian
0.000 0.000 0.000
0.000 0.000 3.480
0.000 0.000 6.918
0.000 2.871 5.199
2.486 1.436 1.753
2.486 1.436 8.646
0.000 2.871 1.766
0.000 2.871 8.633
2.486 1.436 5.199
```

Properties
polymorph energy (0 for the lowest one)	0.0	kJ/mol of atoms
total magnetization	0.00	μB/atom

No. 12
Material: TbTlGe
Method: DFT, PBE
State: relaxed

The structure in POSCAR format:
```
TbTlGe
1.0
7.008 0.000 0.000
0.000 7.008 0.000
0.000 0.000 7.008
Tb Tl Ge
4 4 4
Cartesian
0.000 0.000 0.000
0.000 3.504 3.504
3.504 0.000 3.504
3.504 3.504 0.000
1.752 1.752 5.256
1.752 5.256 1.752
5.256 1.752 1.752
5.256 5.256 5.256
0.000 0.000 3.504
0.000 3.504 0.000
3.504 0.000 0.000
3.504 3.504 3.504
```

Properties
polymorph energy (0 for the lowest one)	26.3	kJ/mol of atoms
total magnetization	0.00	μB/atom

No. 13
Material: TbTmGe2
Method: DFT, PBE
State: relaxed

The structure in POSCAR format:
```
TbTmGe2
1.0
3.233 0.000 0.000
0.000 5.823 0.000
0.000 0.000 11.473
Tb Tm Ge
2 2 4
Cartesian
0.000 0.000 0.000
0.000 2.911 5.737
0.000 0.000 3.425
0.000 2.911 9.162
0.000 0.000 6.202
0.000 0.000 8.660
0.000 2.911 0.465
0.000 2.911 2.924
```

Properties
total magnetization	0.00	μB/atom
VASP energy	-4.533	eV per atom

No. 14
Material: TbTmGe
Method: DFT, PBE
State: relaxed

The structure in POSCAR format:
```
TbTmGe
1.0
4.767 0.000 0.000
-2.383 4.128 0.000
0.000 0.000 4.019
Tb Tm Ge
1 1 1
Cartesian
0.000 0.000 0.000
2.383 1.376 2.009
0.000 2.752 2.009
```

Properties
total magnetization	0.00	μB/atom
VASP energy	-4.938	eV per atom

No. 15
Material: TbTmGe4
Method: DFT, PBE
State: relaxed

The structure in POSCAR format:
```
TbTmGe4
1.0
3.917 0.000 0.000
0.000 4.039 0.000
0.000 0.000 16.061
Tb Tm Ge
2 2 8
Cartesian
0.000 0.000 0.000
0.000 2.020 8.030
1.959 0.000 12.735
1.959 2.020 4.704
0.000 0.000 5.477
0.000 0.000 10.360
0.000 2.020 2.329
0.000 2.020 13.507
1.959 0.000 2.425
1.959 0.000 7.155
1.959 2.020 10.455
1.959 2.020 15.186
```

Properties
total magnetization	0.00	μB/atom
VASP energy	-5.204	eV per atom

No. 16
Material: TbTmGe
Method: DFT, PBE
State: relaxed

The structure in POSCAR format:
```
TbTmGe
1.0
6.864 0.000 0.000
0.000 6.864 0.000
0.000 0.000 6.864
Tb Tm Ge
4 4 4
Cartesian
0.000 0.000 0.000
0.000 3.432 3.432
3.432 0.000 3.432
3.432 3.432 0.000
0.000 0.000 3.432
0.000 3.432 0.000
3.432 0.000 0.000
3.432 3.432 3.432
1.716 1.716 1.716
1.716 5.148 5.148
5.148 1.716 5.148
5.148 5.148 1.716
```

Properties
total magnetization	0.00	μB/atom
VASP energy	-5.098	eV per atom

No. 17
Material: TbTmZn2Ge2
Method: DFT, PBE
State: relaxed

The structure in POSCAR format:
```
TbTmZn2Ge2
1.0
4.230 0.000 0.000
-2.115 3.663 0.000
0.000 0.000 15.534
Tb Tm Zn Ge
2 2 4 4
Cartesian
0.000 0.000 0.000
0.000 0.000 7.767
0.000 0.000 3.883
0.000 0.000 11.650
0.000 2.442 2.335
0.000 2.442 5.431
2.115 1.221 10.102
2.115 1.221 13.198
0.000 2.442 9.550
0.000 2.442 13.751
2.115 1.221 1.783
2.115 1.221 5.984
```

Properties
polymorph energy (0 for the lowest one)	0.0	kJ/mol of atoms
total magnetization	0.00	μB/atom

No. 18
Material: TbUGe
Method: DFT, PBE
State: relaxed

The structure in POSCAR format:
```
TbUGe
1.0
6.887 0.000 0.000
0.000 6.887 0.000
0.000 0.000 6.887
Tb U Ge
4 4 4
Cartesian
0.000 0.000 0.000
0.000 3.444 3.444
3.444 0.000 3.444
3.444 3.444 0.000
0.000 0.000 3.444
0.000 3.444 0.000
3.444 0.000 0.000
3.444 3.444 3.444
1.722 1.722 1.722
1.722 5.165 5.165
5.165 1.722 5.165
5.165 5.165 1.722
```

Properties
polymorph energy (0 for the lowest one)	0.0	kJ/mol of atoms
total magnetization	1.09	μB/atom

No. 19
Material: Tb2YZn4Ge4
Method: DFT, PBE
State: relaxed

The structure in POSCAR format:
```
Tb2YZn4Ge4
1.0
-2.032 2.097 12.631
2.032 -2.097 12.631
2.032 2.097 -12.631
Tb Y Zn Ge
2 1 4 4
Cartesian
0.000 0.000 3.616
0.000 0.000 21.647
0.000 2.097 0.000
2.032 0.000 6.300
0.000 0.000 10.259
0.000 0.000 15.004
0.000 2.097 6.331
2.032 0.000 1.228
0.000 0.000 7.855
0.000 0.000 17.408
0.000 2.097 11.403
```

Properties
total magnetization	0.00	μB/atom
VASP energy	-4.101	eV per atom

No. 20
Material: TbYZn2Ge2
Method: DFT, PBE
State: relaxed

The structure in POSCAR format:
```
TbYZn2Ge2
1.0
4.238 0.000 0.000
-2.119 3.670 0.000
0.000 0.000 15.710
Tb Y Zn Ge
2 2 4 4
Cartesian
0.000 0.000 3.927
0.000 0.000 11.782
0.000 0.000 0.000
0.000 0.000 7.855
0.000 2.447 2.299
0.000 2.447 5.556
2.119 1.223 10.154
2.119 1.223 13.411
0.000 2.447 9.651
0.000 2.447 13.914
2.119 1.223 1.796
2.119 1.223 6.059
```

Properties
total magnetization	0.00	μB/atom
VASP energy	-4.493	eV per atom